[1]
Material: ZrScTl2
Method: DFT, PBE-GGA
State: optimized geometry

POSCAR file:
```
ZrScTl2
1.0
3.247 0.000 0.000
0.000 3.247 0.000
0.000 0.000 8.748
Zr Sc Tl
1 1 2
direct
0.000 0.000 0.000
0.000 0.000 0.500
0.500 0.500 0.252
0.500 0.500 0.748
```

Values from the calculation:
DFT formation energy	-0.16	eV/atom
space-group type	P4/mmm, No. 123

***

[2]
Material: Nd2HoC
Method: DFT, PBE-GGA
State: optimized geometry

POSCAR file:
```
Nd2HoC
1.0
1.812 1.046 9.947
-1.812 1.046 9.947
0.000 -2.092 9.947
Nd Ho C
2 1 1
direct
0.119 0.119 0.119
0.881 0.881 0.881
0.000 0.000 0.000
0.500 0.500 0.500
```

Values from the calculation:
DFT formation energy	0.08	eV/atom
space-group type	R-3m, No. 166

***

[3]
Material: AgP2AuS
Method: DFT, PBE-GGA
State: optimized geometry

POSCAR file:
```
AgP2AuS
1.0
4.805 0.000 0.000
0.000 4.805 0.000
0.000 0.000 4.809
Ag P Au S
1 2 1 1
direct
0.000 0.000 0.000
0.000 0.500 0.000
0.500 0.000 0.000
0.500 0.500 0.500
0.000 0.000 0.500
```

Values from the calculation:
uncorrected energy	-0.1086	hartree per atom
space-group type	P4/mmm, No. 123